No. 1
Crystalline TiBrCl3 at its relaxed geometry, computed with PBE.

Output
- Crystal system: cubic
- Space group: No. 221
- Raw formation energy: 646 meV per atom
- Spin magnetization: 0.1 μB/cell
- E above lowest polymorph: 2137 meV/atom
- DOS at the Fermi energy: 23.82 states/eV/f.u.

Cell: 5.3241 5.3241 5.3241 Å, 90.00 90.00 90.00°
With the nearest neighbours (Å) after each atom.
Sites, in units of the cell vectors:
Cl (0.5000, 0.0000, 0.0000)  2 Br 2.66
Cl (0.0000, 0.0000, 0.5000)  2 Br 2.66
Ti (0.5000, 0.5000, 0.5000)  12 Cl 3.76
Br (0.0000, 0.0000, 0.0000)  6 Cl 2.66
Cl (0.0000, 0.5000, 0.0000)  2 Br 2.66

***

No. 2
Crystalline Sr2HoGaTe5 at its relaxed geometry, computed with PBE.

Output
- Crystal system: orthorhombic
- Space group: No. 36
- Raw formation energy: -1246 meV per atom
- Spin magnetization: 0.0 μB/cell

Cell: 4.3876 10.3202 13.7632 Å, 90.00 90.00 102.27°
With the nearest neighbours (Å) after each atom.
Sites, in units of the cell vectors:
Te (0.3546, 0.7093, 0.0041)  1 Ho 3.01, 4 Sr 3.33-3.36
Sr (0.8801, 0.7602, 0.1822)  7 Te 3.33-3.60
Te (0.0470, 0.0940, 0.0487)  2 Ga 2.72
Sr (0.1199, 0.2398, 0.6822)  7 Te 3.33-3.60
Ho (0.7939, 0.5879, 0.5241)  6 Te 3.01-3.23
Te (0.4994, 0.9988, 0.7681)  1 Ga 2.61
Ga (0.5612, 0.1224, 0.9344)  4 Te 2.61-2.72
Ga (0.4388, 0.8776, 0.4344)  4 Te 2.61-2.72
Sr (0.8757, 0.7515, 0.8218)  6 Te 3.36-3.41
Te (0.9530, 0.9060, 0.5487)  2 Ga 2.72
Te (0.3129, 0.6258, 0.3644)  1 Ga 2.72
Te (0.7075, 0.4150, 0.1761)  2 Ho 3.03
Sr (0.1243, 0.2485, 0.3218)  6 Te 3.36-3.41
Te (0.6871, 0.3742, 0.8644)  1 Ga 2.72
Te (0.6454, 0.2907, 0.5041)  1 Ho 3.01, 4 Sr 3.33-3.36
Ho (0.2061, 0.4121, 0.0241)  6 Te 3.01-3.23
Te (0.2925, 0.5850, 0.6761)  2 Ho 3.03
Te (0.5006, 0.0012, 0.2681)  1 Ga 2.61

***

No. 3
Crystalline CrAu3 at its relaxed geometry, computed with PBE.

Output
- Crystal system: tetragonal
- Formation enthalpy at 0 K: 0.046 eV per atom
- Space group: No. 139
- Spin magnetization: 4.2 μB/cell
- DOS at the Fermi energy: 2.18 states/eV/f.u.

Cell: 4.1202 4.1202 5.0356 Å, 114.15 114.15 90.00°
With the nearest neighbours (Å) after each atom.
Sites, in units of the cell vectors:
Au (0.2500, 0.7500, 0.5000)  4 Cr 2.91, 8 Au 2.91
Au (0.5000, 0.5000, 0.0000)  8 Au 2.91, 4 Cr 2.91
Au (0.7500, 0.2500, 0.5000)  4 Cr 2.91, 8 Au 2.91
Cr (0.0000, 0.0000, 0.0000)  12 Au 2.91

***

No. 4
Crystalline Pm12MgPd6 at its relaxed geometry, computed with PBE.

Output
- Crystal system: trigonal
- Formation enthalpy at 0 K: -0.393 eV per atom
- Space group: No. 148
- Spin magnetization: 0.0 μB/cell
- DOS at the Fermi energy: 18.96 states/eV/f.u.

Cell: 8.9534 8.9534 8.9534 Å, 108.96 108.96 108.96°
With the nearest neighbours (Å) after each atom.
Sites, in units of the cell vectors:
Pm (0.9681, 0.1447, 0.6729)  3 Pd 2.86-2.96
Pm (0.1447, 0.6729, 0.9681)  3 Pd 2.86-2.96
Pm (0.5544, 0.8523, 0.6156)  3 Pd 2.86-3.08
Pd (0.6447, 0.2905, 0.2164)  6 Pm 2.86-3.08
Pd (0.7836, 0.3553, 0.7095)  6 Pm 2.86-3.08
Pm (0.4456, 0.1477, 0.3844)  3 Pd 2.86-3.08
Mg (0.0000, 0.0000, 0.0000)  12 Pm 3.54-3.77
Pm (0.0319, 0.8553, 0.3271)  3 Pd 2.86-2.96
Pm (0.8553, 0.3271, 0.0319)  3 Pd 2.86-2.96
Pd (0.7095, 0.7836, 0.3553)  6 Pm 2.86-3.08
Pm (0.8523, 0.6156, 0.5544)  3 Pd 2.86-3.08
Pm (0.6156, 0.5544, 0.8523)  3 Pd 2.86-3.08
Pm (0.3271, 0.0319, 0.8553)  3 Pd 2.86-2.96
Pm (0.3844, 0.4456, 0.1477)  3 Pd 2.86-3.08
Pd (0.3553, 0.7095, 0.7836)  6 Pm 2.86-3.08
Pd (0.2905, 0.2164, 0.6447)  6 Pm 2.86-3.08
Pd (0.2164, 0.6447, 0.2905)  6 Pm 2.86-3.08
Pm (0.6729, 0.9681, 0.1447)  3 Pd 2.86-2.96
Pm (0.1477, 0.3844, 0.4456)  3 Pd 2.86-3.08